[1]
Ce3InCo | PBE | optimized geometry

The structure belongs to space group P2_1/m (No. 11); the cell edges are 3.483, 10.989 and 6.799 Å and the angles 90.00°, 104.78° and 90.00°. The distinct sites, in fractional coordinates, are Ce at (0.024, 0.250, 0.045), Ce at (0.351, 0.022, 0.700), In at (0.250, 0.750, 0.503) and Co at (0.000, 0.000, 0.000).

Its formation enthalpy at 0 K is -192.7 meV/atom. The value obtained for the offset from the most stable computed form is 15 meV/atom.

---

[2]
Ce4In12Co | PBE | optimized geometry

The structure belongs to space group Im-3m (No. 229); the cell edges are 9.455, 9.455 and 9.455 Å and the angles 90.00°, 90.00° and 90.00°. The distinct sites, in fractional coordinates, are Ce at (0.250, 0.250, 0.250), In at (0.000, 0.000, 0.274), In at (0.000, 0.250, 0.500) and Co at (0.000, 0.000, 0.000).

Its formation enthalpy at 0 K is -354.2 meV/atom.